Record 1
! Tb8C4O3 | Alexandria via LeMat-Bulk | PBE-GGA | relaxed; values from VASP
&SYSTEM
  ibrav = 0, nat = 15, ntyp = 3
/
ATOMIC_SPECIES
Tb 158.93 Tb.upf
C 12.01 C.upf
O 16.00 O.upf
CELL_PARAMETERS angstrom
5.0121 -5.0409 0.0000
5.0121 5.0409 0.0000
-4.9858 0.0000 5.0310
ATOMIC_POSITIONS crystal
Tb 0.2435 0.7565 0.0000
Tb 0.2465 0.2465 0.9997
Tb 0.2457 0.2457 0.4817
Tb 0.2530 0.7470 0.5000
Tb 0.7470 0.2530 0.5000
Tb 0.7535 0.7535 0.0003
Tb 0.7543 0.7543 0.5183
Tb 0.7565 0.2435 0.0000
C 0.0000 0.0000 0.0000
C 0.0000 0.5000 0.0000
C 0.5000 0.0000 0.0000
C 0.5000 0.5000 0.5000
O 0.0000 0.0000 0.5000
O 0.0000 0.5000 0.5000
O 0.5000 0.0000 0.5000
! total magnetic moment: 0.4 Bohr magnetons per cell
! symmetry: No. 12
! ΔE_f (raw): -1.3841 eV per atom

=====

Record 2
! Tb8C3O4 | Alexandria via LeMat-Bulk | PBE-GGA | relaxed; values from VASP
&SYSTEM
  ibrav = 0, nat = 15, ntyp = 3
/
ATOMIC_SPECIES
Tb 158.93 Tb.upf
C 12.01 C.upf
O 16.00 O.upf
CELL_PARAMETERS angstrom
3.5269 2.0363 6.1534
-3.5269 2.0363 6.1534
0.0000 -4.0725 6.1534
ATOMIC_POSITIONS crystal
Tb 0.2396 0.2396 0.2396
Tb 0.2428 0.7438 0.7438
Tb 0.2562 0.2562 0.7572
Tb 0.2562 0.7572 0.2562
Tb 0.7438 0.2428 0.7438
Tb 0.7438 0.7438 0.2428
Tb 0.7572 0.2562 0.2562
Tb 0.7604 0.7604 0.7604
C 0.0000 0.0000 0.5000
C 0.0000 0.5000 0.0000
C 0.5000 0.0000 0.0000
O 0.0000 0.0000 0.0000
O 0.3587 0.3587 0.3587
O 0.5000 0.5000 0.5000
O 0.6413 0.6413 0.6413
! total magnetic moment: 0.0 Bohr magnetons per cell
! symmetry: No. 166
! ΔE_f (raw): -1.6177 eV per atom

=====

Record 3
! Tb6CO12 | Alexandria via LeMat-Bulk | PBE-GGA | relaxed; values from VASP
&SYSTEM
  ibrav = 0, nat = 19, ntyp = 3
/
ATOMIC_SPECIES
Tb 158.93 Tb.upf
C 12.01 C.upf
O 16.00 O.upf
CELL_PARAMETERS angstrom
4.8588 2.8052 3.0746
-4.8588 2.8052 3.0746
0.0000 -5.6105 3.0746
ATOMIC_POSITIONS crystal
Tb 0.1056 0.8021 0.6429
Tb 0.1979 0.3571 0.8944
Tb 0.3571 0.8944 0.1979
Tb 0.6429 0.1056 0.8021
Tb 0.8021 0.6429 0.1056
Tb 0.8944 0.1979 0.3571
C 0.5000 0.5000 0.5000
O 0.0582 0.9027 0.3234
O 0.0973 0.6766 0.9418
O 0.2379 0.4368 0.5229
O 0.3234 0.0582 0.9027
O 0.4368 0.5229 0.2379
O 0.4771 0.7621 0.5632
O 0.5229 0.2379 0.4368
O 0.5632 0.4771 0.7621
O 0.6766 0.9418 0.0973
O 0.7621 0.5632 0.4771
O 0.9027 0.3234 0.0582
O 0.9418 0.0973 0.6766
! total magnetic moment: 2.0 Bohr magnetons per cell
! symmetry: No. 148
! ΔE_f (raw): -2.5462 eV per atom

=====

Record 4
! TbCO4 | Alexandria via LeMat-Bulk | PBE-GGA | relaxed; values from VASP
&SYSTEM
  ibrav = 0, nat = 24, ntyp = 3
/
ATOMIC_SPECIES
Tb 158.93 Tb.upf
C 12.01 C.upf
O 16.00 O.upf
CELL_PARAMETERS angstrom
4.8293 0.0000 0.0000
0.0000 7.2729 0.0000
0.0000 0.0000 8.9785
ATOMIC_POSITIONS crystal
Tb 0.0341 0.1368 0.1678
Tb 0.4659 0.8632 0.6678
Tb 0.5341 0.3632 0.8322
Tb 0.9659 0.6368 0.3322
C 0.0169 0.0404 0.8382
C 0.4831 0.9596 0.3382
C 0.5169 0.4596 0.1618
C 0.9831 0.5404 0.6618
O 0.0274 0.8290 0.1430
O 0.0446 0.4339 0.7702
O 0.1640 0.6204 0.5770
O 0.2201 0.9323 0.3686
O 0.2799 0.0677 0.8686
O 0.3360 0.3796 0.0770
O 0.4554 0.5661 0.2702
O 0.4726 0.1710 0.6430
O 0.5274 0.6710 0.8570
O 0.5446 0.0661 0.2298
O 0.6640 0.8796 0.4230
O 0.7201 0.5677 0.6314
O 0.7799 0.4323 0.1314
O 0.8360 0.1204 0.9230
O 0.9554 0.9339 0.7298
O 0.9726 0.3290 0.3570
! ΔE to the lowest computed polymorph: 0.046 eV/atom
! total magnetic moment: 4.0 Bohr magnetons per cell
! symmetry: No. 19
! ΔE_f (raw): -2.0187 eV per atom

=====

Record 5
! Tb4CO3 | Alexandria via LeMat-Bulk | PBE-GGA | relaxed; values from VASP
&SYSTEM
  ibrav = 0, nat = 16, ntyp = 3
/
ATOMIC_SPECIES
Tb 158.93 Tb.upf
C 12.01 C.upf
O 16.00 O.upf
CELL_PARAMETERS angstrom
6.0206 0.0000 0.0000
0.0000 6.9924 0.0000
-2.0088 0.0000 5.6889
ATOMIC_POSITIONS crystal
Tb 0.2452 0.1200 0.0003
Tb 0.2452 0.8800 0.5003
Tb 0.2470 0.3696 0.4946
Tb 0.2470 0.6304 0.9946
Tb 0.7530 0.3696 0.0054
Tb 0.7530 0.6304 0.5054
Tb 0.7548 0.1200 0.4997
Tb 0.7548 0.8800 0.9997
C 0.0000 0.1305 0.2500
C 0.0000 0.8695 0.7500
O 0.0000 0.3796 0.7500
O 0.0000 0.6204 0.2500
O 0.5000 0.1328 0.7500
O 0.5000 0.3799 0.2500
O 0.5000 0.6201 0.7500
O 0.5000 0.8672 0.2500
! total magnetic moment: 0.0 Bohr magnetons per cell
! symmetry: No. 13
! ΔE_f (raw): -2.3331 eV per atom

=====

Record 6
! TbC2O6 | Alexandria via LeMat-Bulk | PBE-GGA | relaxed; values from VASP
&SYSTEM
  ibrav = 0, nat = 18, ntyp = 3
/
ATOMIC_SPECIES
Tb 158.93 Tb.upf
C 12.01 C.upf
O 16.00 O.upf
CELL_PARAMETERS angstrom
5.0920 -3.7548 0.0000
5.0920 3.7548 0.0000
-3.7927 0.0000 5.4270
ATOMIC_POSITIONS crystal
Tb 0.1867 0.8133 0.7500
Tb 0.8133 0.1867 0.2500
C 0.2233 0.3335 0.8668
C 0.3335 0.2233 0.3668
C 0.6665 0.7767 0.6332
C 0.7767 0.6665 0.1332
O 0.0622 0.1974 0.6819
O 0.1974 0.0622 0.1819
O 0.1970 0.5592 0.9292
O 0.2296 0.4108 0.4927
O 0.4108 0.2296 0.9927
O 0.4408 0.8030 0.5708
O 0.5592 0.1970 0.4292
O 0.5892 0.7704 0.0073
O 0.7704 0.5892 0.5073
O 0.8030 0.4408 0.0708
O 0.8026 0.9378 0.8181
O 0.9378 0.8026 0.3181
! total magnetic moment: 2.0 Bohr magnetons per cell
! symmetry: No. 15
! ΔE_f (raw): -1.8611 eV per atom